No. 1
A geometry-optimized Rb2HgMo structure, computed with PBE.

Summary:
Formation energy from the elements in eV/f.u.: 4.0

The structure in CIF format:
```
data_Rb2HgMo
_chemical_formula_sum 'Rb8 Hg4 Mo4'
_space_group_name_H-M_alt 'I -4 2 d'
_space_group_IT_number 122
_space_group_name_Hall 'I -4 2bw'
_cell_length_a 12.801
_cell_length_b 12.801
_cell_length_c 5.553
_cell_angle_alpha 90.00
_cell_angle_beta 90.00
_cell_angle_gamma 90.00
loop_
_atom_site_label
_atom_site_type_symbol
_atom_site_fract_x
_atom_site_fract_y
_atom_site_fract_z
Rb1 Rb 0.098 0.250 0.125
Hg1 Hg 0.000 0.000 0.000
Mo1 Mo 0.000 0.000 0.500
```


No. 2
A geometry-optimized KSO2F structure, computed with PBE.

Summary:
ΔE_f (raw) in eV/atom: -1.8194

The structure in CIF format:
```
data_KSO2F
_chemical_formula_sum 'K2 S2 O4 F2'
_space_group_name_H-M_alt 'P 1 21 1'
_space_group_IT_number 4
_space_group_name_Hall 'P 2yb'
_cell_length_a 4.759
_cell_length_b 5.755
_cell_length_c 7.214
_cell_angle_alpha 90.00
_cell_angle_beta 108.98
_cell_angle_gamma 90.00
loop_
_atom_site_label
_atom_site_type_symbol
_atom_site_fract_x
_atom_site_fract_y
_atom_site_fract_z
K1 K 0.144 0.000 0.297
S1 S 0.455 0.981 0.836
O1 O 0.220 0.512 0.110
O2 O 0.345 0.794 0.689
F1 F 0.332 0.234 0.671
```


No. 3
A geometry-optimized CdAsSN2 structure, computed with PBE.

Summary:
ΔE_f (raw) in eV/atom: 1.8867
Distance to the lowest polymorph of the same formula in eV/atom: 0.879

The structure in CIF format:
```
data_CdAsSN2
_chemical_formula_sum 'Cd1 As1 S1 N2'
_space_group_name_H-M_alt 'P 4/m m m'
_space_group_IT_number 123
_space_group_name_Hall '-P 4 2'
_cell_length_a 4.206
_cell_length_b 4.206
_cell_length_c 5.526
_cell_angle_alpha 90.00
_cell_angle_beta 90.00
_cell_angle_gamma 90.00
loop_
_atom_site_label
_atom_site_type_symbol
_atom_site_fract_x
_atom_site_fract_y
_atom_site_fract_z
Cd1 Cd 0.000 0.000 0.000
As1 As 0.500 0.500 0.500
S1 S 0.000 0.000 0.500
N1 N 0.000 0.500 0.000
```


No. 4
A geometry-optimized HoPaN3 structure, computed with PBE.

Summary:
ΔE_f (raw) in eV/atom: -1.3552

The structure in CIF format:
```
data_HoPaN3
_chemical_formula_sum 'Ho4 Pa4 N12'
_space_group_name_H-M_alt 'C 1 2/m 1'
_space_group_IT_number 12
_space_group_name_Hall '-C 2y'
_cell_length_a 13.322
_cell_length_b 3.936
_cell_length_c 6.600
_cell_angle_alpha 90.00
_cell_angle_beta 109.54
_cell_angle_gamma 90.00
loop_
_atom_site_label
_atom_site_type_symbol
_atom_site_fract_x
_atom_site_fract_y
_atom_site_fract_z
Ho1 Ho 0.147 0.000 0.333
Pa1 Pa 0.133 0.500 0.855
N1 N 0.035 0.500 0.110
N2 N 0.168 0.500 0.553
N3 N 0.181 0.000 0.008
```


No. 5
A geometry-optimized Sr2MgHgS structure, computed with PBE.

Summary:
ΔE_f (raw) in eV/atom: -0.1632

The structure in CIF format:
```
data_Sr2MgHgS
_chemical_formula_sum 'Sr2 Mg1 Hg1 S1'
_space_group_name_H-M_alt 'P 4/m m m'
_space_group_IT_number 123
_space_group_name_Hall '-P 4 2'
_cell_length_a 6.462
_cell_length_b 6.462
_cell_length_c 4.654
_cell_angle_alpha 90.00
_cell_angle_beta 90.00
_cell_angle_gamma 90.00
loop_
_atom_site_label
_atom_site_type_symbol
_atom_site_fract_x
_atom_site_fract_y
_atom_site_fract_z
Sr1 Sr 0.000 0.500 0.000
Mg1 Mg 0.000 0.000 0.000
Hg1 Hg 0.500 0.500 0.500
S1 S 0.000 0.000 0.500
```


No. 6
A geometry-optimized NaMg2P2 structure, computed with PBE.

Summary:
Formation energy from the elements in eV/f.u.: -1.8
Distance to the lowest polymorph of the same formula in eV/atom: 0.068

The structure in CIF format:
```
data_NaMg2P2
_chemical_formula_sum 'Na2 Mg4 P4'
_space_group_name_H-M_alt 'P 4/m b m'
_space_group_IT_number 127
_space_group_name_Hall '-P 4 2ab'
_cell_length_a 7.780
_cell_length_b 7.780
_cell_length_c 3.141
_cell_angle_alpha 90.00
_cell_angle_beta 90.00
_cell_angle_gamma 90.00
loop_
_atom_site_label
_atom_site_type_symbol
_atom_site_fract_x
_atom_site_fract_y
_atom_site_fract_z
Na1 Na 0.000 0.000 0.000
Mg1 Mg 0.135 0.365 0.500
P1 P 0.163 0.663 0.000
```


no.,final energy (eV per cell),DOS at the Fermi energy (states/eV per atom),volume (Å³/f.u.)
1,-36.27,0.799,227.5
2,-52.22,0.000,93.4
3,-16.91,0.507,97.8
4,-183.30,0.168,81.5
5,-10.20,0.854,194.4
6,-34.17,0.149,95.1